[1]
Np3Tl4RhSe8 (PBE, optimized geometry); formation energy from raw total energies = -727.8 meV/atom; SG = No. 12
1.0
-2.9216 -5.7364 -4.9107
8.5365 -2.2001 -2.5087
-1.5871 -0.2733 7.9385
Np Tl Rh Se
3 4 1 8
direct
0.5000 0.5000 0.0000
0.5000 0.5000 0.5000
0.0000 0.5000 0.5000
0.5000 0.0000 0.0000
0.5000 0.0000 0.5000
0.0000 0.0000 0.0000
0.0000 0.0000 0.5000
0.0000 0.5000 0.0000
0.2216 0.6950 0.9736
0.2216 0.6951 0.4432
0.2637 0.2912 0.5273
0.7520 0.6950 0.9736
0.2480 0.3050 0.0264
0.7363 0.7088 0.4727
0.7784 0.3049 0.5568
0.7784 0.3050 0.0264

***

[2]
La2TbPr5Sc (PBE, optimized geometry); SG = No. 140; energy relative to the elements = 2.2 eV/f.u.
1.0
8.5181 0.0000 0.0000
0.0000 8.5181 0.0000
-4.2591 -4.2591 8.6522
La Tb Pr Sc
4 2 10 2
direct
0.1255 0.3745 0.0000
0.6255 0.1255 0.0000
0.3745 0.8745 0.0000
0.8745 0.6255 0.0000
0.2500 0.2500 0.5000
0.7500 0.7500 0.5000
0.9249 0.4249 0.2940
0.6309 0.1309 0.7060
0.0751 0.5751 0.7060
0.1309 0.0751 0.7060
0.5751 0.6309 0.7060
0.8691 0.9249 0.2940
0.4249 0.3691 0.2940
0.3691 0.8691 0.2940
0.5000 0.5000 0.0000
0.0000 0.0000 0.0000
0.2500 0.7500 0.5000
0.7500 0.2500 0.5000

***

[3]
HoPuPbAu (PBE, optimized geometry); SG = No. 216; energy relative to the elements = -1.6 eV/f.u.
1.0
-0.4407 -2.9886 4.3401
-2.7188 -4.5321 -0.1754
2.5473 -4.6245 0.2956
Pb Au Ho Pu
1 1 1 1
direct
0.5000 0.5000 0.5000
0.0000 0.0000 0.0000
0.2500 0.2500 0.2500
0.7500 0.7500 0.7500

***

[4]
U2AlIr (PBE, optimized geometry); SG = No. 166; energy relative to the elements = 0.8 eV/f.u.
1.0
-2.6894 0.8600 0.3797
-1.1618 -0.0625 2.6006
2.2585 10.5353 2.8227
Ir U Al
1 2 1
direct
0.5000 0.5000 0.5000
0.0900 0.0900 0.7299
0.9100 0.9100 0.2701
0.0000 0.0000 0.0000

***

[5]
AsCl (PBE, optimized geometry); formation energy from raw total energies = 477.4 meV/atom; SG = No. 123
1.0
3.0252 0.0000 0.0000
0.0000 3.0252 0.0000
0.0000 0.0000 4.3713
As Cl
1 1
direct
0.0000 0.0000 0.0000
0.5000 0.5000 0.5000

***

[6]
KNaCd2Bi2 (PBE, optimized geometry); SG = No. 164; energy relative to the elements = -1.7 eV/f.u.
1.0
-1.8484 -0.6619 -4.6178
2.5587 -3.6948 2.2317
-7.6473 -3.1723 3.5158
K Na Cd Bi
1 1 2 2
direct
0.0000 0.0000 0.0000
0.0000 0.0000 0.5000
0.6667 0.3333 0.6465
0.3333 0.6667 0.3535
0.6667 0.3333 0.2645
0.3333 0.6667 0.7355

***

[7]
Mg2ZnTcH (PBE, optimized geometry); SG = No. 123
1.0
-3.5382 -1.7413 1.6455
-0.5874 -2.2148 -3.6067
2.0195 -2.7934 1.3864
Mg H Zn Tc
2 1 1 1
direct
0.0000 0.5000 0.0000
0.5000 0.0000 0.0000
0.0000 0.0000 0.0000
0.5000 0.5000 0.5000
0.0000 0.0000 0.5000

***

[8]
Cs2BaCdF6 (PBE, optimized geometry); formation energy from raw total energies = -2899.1 meV/atom; SG = No. 225
1.0
6.8319 0.0000 0.0000
0.0000 6.8319 0.0000
3.4160 3.4160 4.8330
Cs F Ba Cd
2 6 1 1
direct
0.7500 0.2500 0.5000
0.2500 0.7500 0.5000
0.2650 0.2650 0.4700
0.7350 0.7350 0.5300
0.2651 0.2651 0.0000
0.7349 0.7349 0.0000
0.7349 0.2651 0.0000
0.2651 0.7349 0.0000
0.0000 0.0000 0.0000
0.5000 0.5000 0.0000

***

[9]
YbSi2Rh2 (PBE, optimized geometry); formation energy from raw total energies = -1043.6 meV/atom; SG = No. 139
1.0
5.7694 0.0296 0.0000
2.8631 5.0089 0.0000
-4.3163 -2.5193 2.8827
Yb Si Rh
1 2 2
direct
0.0000 0.0000 0.0000
0.6240 0.6240 0.0000
0.3760 0.3760 0.0000
0.2500 0.7500 0.5000
0.7500 0.2500 0.5000

***

[10]
AcHf2In (PBE, optimized geometry); SG = No. 166; energy relative to the elements = 1.8 eV/f.u.
1.0
-0.2761 -0.1272 -3.2604
2.2515 -1.5840 -1.7732
-5.4660 -10.2806 -0.7804
Ac Hf In
1 2 1
direct
0.0000 0.0000 0.0000
0.0938 0.0938 0.7187
0.9062 0.9062 0.2813
0.5000 0.5000 0.5000

***

[11]
KNaMnS3 (PBE, optimized geometry); formation energy from raw total energies = -830.7 meV/atom; SG = No. 63
1.0
-0.5720 -0.3467 -6.4412
-1.5539 -6.8240 0.5053
-5.6701 4.9165 0.2389
K Na Mn S
2 2 2 6
direct
0.7500 0.2266 0.4533
0.2500 0.7734 0.5467
0.2500 0.4160 0.8320
0.7500 0.5840 0.1680
0.2500 0.0486 0.0972
0.7500 0.9514 0.9028
0.2500 0.2135 0.4270
0.0000 0.2153 0.0000
0.5000 0.7847 0.0000
0.5000 0.2153 0.0000
0.0000 0.7847 0.0000
0.7500 0.7865 0.5730

***

[12]
Sr2InAs (PBE, optimized geometry); SG = No. 225; offset from the most stable computed form = 164 meV/atom; energy relative to the elements = -2.2 eV/f.u.
1.0
0.0000 3.9628 3.9628
3.9628 0.0000 3.9628
3.9628 3.9628 0.0000
Sr As In
2 1 1
direct
0.2500 0.2500 0.2500
0.7500 0.7500 0.7500
0.0000 0.0000 0.0000
0.5000 0.5000 0.5000

***

Respective DFT total energy values: -95.2, -84.9, -27.5, -34.4, -5.5, -13.7, -17.9, -44.8, -32.3, -25.0, -57.9, -13.0 eV per cell.
Respective D(E_F) values: 32.88, 25.79, 10.96, 7.63, 1.20, 0.91, 2.82, 0.00, 14.68, 4.89, 4.39, 3.88 states/eV per cell.